Computed, not measured: a PBEsol-optimized structure of LiWI3 at the SCAN level of DFT.

```
LiWI3
1.0
5.5380 0.0000 0.0000
0.0000 5.5380 0.0000
0.0000 0.0000 5.5380
Li W I
1 1 3
Direct
0.0000 0.0000 0.0000
0.5000 0.5000 0.5000
0.0000 0.5000 0.5000
0.5000 0.0000 0.5000
0.5000 0.5000 0.0000
```

Summary:
The value obtained for the size of the total moment is 3.92 μB per cell. The calculation puts the uncorrected formation energy at 277 meV per atom. Its space group is Pm-3m. Its crystal system is cubic. As for the total energy: -36.184 eV/atom. As for the calculated volume: 33.97 Å³ per atom. The value obtained for the density of states at the Fermi level is 1.8 states/eV/cell.

***

Computed, not measured: a PBEsol-optimized structure of ReTc2Sb at the SCAN level of DFT.

```
ReTc2Sb
1.0
0.0000 3.1353 3.1353
3.1353 0.0000 3.1353
3.1353 3.1353 0.0000
Re Tc Sb
1 2 1
Direct
0.0000 0.0000 0.0000
0.2500 0.2500 0.2500
0.5000 0.5000 0.5000
0.7500 0.7500 0.7500
```

Summary:
The value obtained for the size of the total moment is 0.00 μB per cell. The calculation puts the uncorrected formation energy at 393 meV per atom. Its space group is F-43m. Its crystal system is cubic. As for the total energy: -44.227 eV/atom. As for the calculated volume: 15.41 Å³ per atom. The value obtained for the density of states at the Fermi level is 3.5 states/eV/cell.